No. 1
First-principles (GGA-PBE) data for a geometry-optimized SrIn2Bi2 structure, as listed in the Alexandria database.

The calculation puts the total magnetization at 0.0 Bohr magnetons per cell. The value obtained for the energy above the most stable polymorph in this dataset is 0.126 eV/atom.

Cell: 4.9989 4.9989 7.7571 Å, 71.20 71.20 90.00°
Positions (direct):
Bi 0.2500 0.7500 0.5000
Bi 0.7500 0.2500 0.5000
Sr 0.0000 0.0000 0.0000
In 0.3964 0.3964 0.2073
In 0.6036 0.6036 0.7927

No. 2
First-principles (GGA-PBE) data for a geometry-optimized Sr5In2Bi6 structure, as listed in the Alexandria database.

The calculation puts the total magnetization at 0.0 Bohr magnetons per cell. The value obtained for the energy above the most stable polymorph in this dataset is 0.000 eV/atom.

Cell: 4.8237 7.9171 24.9286 Å, 90.00 90.00 90.00°
Positions (direct):
Bi 0.0000 0.0073 0.3121
Bi 0.5000 0.0451 0.1360
Bi 0.5000 0.5451 0.3640
Bi 0.0000 0.5073 0.1879
Bi 0.0000 0.9927 0.6879
Bi 0.0000 0.8017 0.5016
Bi 0.0000 0.1983 0.4984
Bi 0.0000 0.4927 0.8121
Bi 0.5000 0.9549 0.8640
Bi 0.0000 0.3017 0.9984
Bi 0.5000 0.4549 0.6360
Bi 0.0000 0.6983 0.0016
Sr 0.5000 0.7289 0.7436
Sr 0.5000 0.5299 0.9116
Sr 0.5000 0.5000 0.5000
Sr 0.5000 0.0299 0.5884
Sr 0.5000 0.2711 0.2564
Sr 0.5000 0.0000 0.0000
Sr 0.5000 0.7711 0.2436
Sr 0.5000 0.9701 0.4116
Sr 0.5000 0.2289 0.7564
Sr 0.5000 0.4701 0.0884
In 0.0000 0.1765 0.8796
In 0.0000 0.6765 0.6204
In 0.0000 0.8235 0.1204
In 0.0000 0.3235 0.3796

No. 3
First-principles (GGA-PBE) data for a geometry-optimized SrInBi2 structure, as listed in the Alexandria database.

The value obtained for the total energy is -3.399 eV/atom. The calculation puts the total magnetization at 0.0 Bohr magnetons per cell.

Cell: 4.4532 4.4532 6.6995 Å, 90.00 90.00 90.00°
Positions (direct):
Sr 0.5000 0.5000 0.0000
In 0.5000 0.5000 0.5000
Bi 0.0000 0.0000 0.7534
Bi 0.0000 0.0000 0.2466

No. 4
First-principles (GGA-PBE) data for a geometry-optimized Sr2InBi3 structure, as listed in the Alexandria database.

The calculation puts the total magnetization at 0.0 Bohr magnetons per cell. The value obtained for the energy above the most stable polymorph in this dataset is 0.000 eV/atom.

Cell: 4.8185 8.1414 21.4687 Å, 90.00 90.00 90.00°
Positions (direct):
In 0.2500 0.4860 0.0586
In 0.2500 0.9860 0.4414
In 0.7500 0.5140 0.9414
In 0.7500 0.0140 0.5586
Sr 0.2500 0.1865 0.9298
Sr 0.2500 0.6596 0.7839
Sr 0.7500 0.3404 0.2161
Sr 0.7500 0.8404 0.2839
Sr 0.7500 0.8135 0.0702
Sr 0.2500 0.1596 0.7161
Sr 0.7500 0.3135 0.4298
Sr 0.2500 0.6865 0.5702
Bi 0.2500 0.6520 0.1868
Bi 0.2500 0.7497 0.9430
Bi 0.2500 0.2497 0.5570
Bi 0.7500 0.8480 0.6868
Bi 0.7500 0.7503 0.4430
Bi 0.2500 0.5382 0.3488
Bi 0.7500 0.4618 0.6512
Bi 0.2500 0.1520 0.3132
Bi 0.7500 0.2503 0.0570
Bi 0.7500 0.3480 0.8132
Bi 0.7500 0.9618 0.8488
Bi 0.2500 0.0382 0.1512

No. 5
First-principles (GGA-PBE) data for a geometry-optimized Sr2InBi4 structure, as listed in the Alexandria database.

The calculation puts the total magnetization at 0.0 Bohr magnetons per cell. The value obtained for the energy above the most stable polymorph in this dataset is 0.040 eV/atom.

Cell: 4.5965 4.5965 11.9643 Å, 90.00 90.00 90.00°
Positions (direct):
Bi 0.5000 0.0000 0.1597
Bi 0.0000 0.0000 0.5000
Bi 0.0000 0.5000 0.8403
Bi 0.5000 0.5000 0.5000
Sr 0.0000 0.5000 0.2602
Sr 0.5000 0.0000 0.7398
In 0.5000 0.5000 0.0000

No. 6
First-principles (GGA-PBE) data for a geometry-optimized SrIn2Bi2 structure, as listed in the Alexandria database.

The calculation puts the total magnetization at 0.0 Bohr magnetons per cell. The value obtained for the energy above the most stable polymorph in this dataset is 0.102 eV/atom.

Cell: 8.7829 8.7829 4.3212 Å, 90.00 90.00 90.00°
Positions (direct):
Bi 0.6321 0.1321 0.0000
Bi 0.3679 0.8679 0.0000
Bi 0.1321 0.3679 0.0000
Bi 0.8679 0.6321 0.0000
In 0.3442 0.1558 0.5000
In 0.1558 0.6558 0.5000
In 0.8442 0.3442 0.5000
In 0.6558 0.8442 0.5000
Sr 0.0000 0.0000 0.0000
Sr 0.5000 0.5000 0.0000